1.
First-principles (PBE-GGA) data for SmMnSi2Tc after structural relaxation, as listed in Alexandria via LeMat-Bulk.

Lattice parameters (Å, degrees): 4.037 4.037 10.479 90.00 90.00 90.00
Positions (direct):
Sm 0.000 0.000 0.000
Sm 0.500 0.500 0.500
Mn 0.000 0.500 0.250
Mn 0.500 0.000 0.750
Si 0.000 0.000 0.379
Si 0.000 0.000 0.621
Si 0.500 0.500 0.121
Si 0.500 0.500 0.879
Tc 0.000 0.500 0.750
Tc 0.500 0.000 0.250

The total energy is -76.506 eV per cell. The value obtained for the size of the total moment is 2.512 μB/f.u.

---

2.
First-principles (PBE-GGA) data for SmMnSi2W after structural relaxation, as listed in Alexandria via LeMat-Bulk.

Lattice parameters (Å, degrees): 3.971 3.971 11.033 90.00 90.00 90.00
Positions (direct):
Sm 0.000 0.000 0.000
Sm 0.500 0.500 0.500
Mn 0.000 0.500 0.750
Mn 0.500 0.000 0.250
Si 0.000 0.000 0.387
Si 0.000 0.000 0.613
Si 0.500 0.500 0.113
Si 0.500 0.500 0.887
W 0.000 0.500 0.250
W 0.500 0.000 0.750

The total energy is -79.795 eV per cell. The value obtained for the size of the total moment is 2.221 μB/f.u.

---

3.
First-principles (PBE-GGA) data for MnSiSn2 after structural relaxation, as listed in Alexandria via LeMat-Bulk.

Lattice parameters (Å, degrees): 6.591 6.591 10.318 90.00 90.00 90.00
Positions (direct):
Mn 0.000 0.000 0.000
Mn 0.000 0.500 0.250
Mn 0.500 0.000 0.750
Mn 0.500 0.500 0.500
Si 0.000 0.000 0.500
Si 0.000 0.500 0.750
Si 0.500 0.000 0.250
Si 0.500 0.500 0.000
Sn 0.237 0.250 0.625
Sn 0.250 0.737 0.875
Sn 0.250 0.763 0.375
Sn 0.263 0.250 0.125
Sn 0.737 0.750 0.125
Sn 0.750 0.237 0.375
Sn 0.750 0.263 0.875
Sn 0.763 0.750 0.625

The total energy is -81.642 eV per cell. The value obtained for the size of the total moment is 3.520 μB/f.u.

---

Which value of size of the total moment does entry 2 give? 2.221 μB/f.u.

---

Among the records above, which one has the highest size of the total moment? MnSiSn2